BaFeAs | PBE | relaxed

a = 6.344 Å, b = 6.344 Å, c = 3.470 Å
α = 74.13°, β = 74.13°, γ = 31.74°
Last column: magnetic moment on the atom in μB.
Fractional positions:
As (0.054, 0.054, 0.946)  -0.05
Ba (0.331, 0.331, 0.669)  -0.13
Fe (0.615, 0.615, 0.385)  2.34

Calculated values
**E_tot**: -15.06 eV per cell
**Magnetization**: 1.89 μB per cell
**Energy of formation from the pure elements**: -0.007 eV/atom
**D(E_F)**: 1.145 states/eV/atom

BaFeAs2 | PBE | relaxed

a = 4.973 Å, b = 4.973 Å, c = 4.973 Å
α = 60.00°, β = 60.00°, γ = 60.00°
Fractional positions:
As (0.250, 0.250, 0.250)
As (0.750, 0.750, 0.750)
Ba (0.500, 0.500, 0.500)
Fe (0.000, 0.000, 0.000)

Calculated values
**E_tot**: -18.24 eV per cell
**Magnetization**: 0.00 μB per cell
**Energy of formation from the pure elements**: 0.360 eV/atom
**D(E_F)**: 0.712 states/eV/atom

BaFe2As | PBE | relaxed

a = 4.544 Å, b = 4.541 Å, c = 3.949 Å
α = 90.00°, β = 90.00°, γ = 90.00°
Last column: magnetic moment on the atom in μB.
Fractional positions:
As (0.500, 0.000, 0.500)  0.01
Ba (0.000, 0.500, 0.500)  -0.15
Fe (0.000, 0.000, 0.000)  2.79
Fe (0.500, 0.500, 0.000)  2.79

Calculated values
**E_tot**: -20.67 eV per cell
**Magnetization**: 5.35 μB per cell
**Energy of formation from the pure elements**: 0.707 eV/atom
**D(E_F)**: 1.203 states/eV/atom

BaFe2As | PBE | relaxed

a = 3.306 Å, b = 3.305 Å, c = 7.430 Å
α = 90.00°, β = 90.00°, γ = 90.00°
Last column: magnetic moment on the atom in μB.
Fractional positions:
As (0.000, 0.000, 0.416)  -0.06
Ba (0.500, 0.500, 0.754)  -0.05
Fe (0.000, 0.000, 0.094)  2.65
Fe (0.500, 0.500, 0.236)  2.60

Calculated values
**E_tot**: -22.75 eV per cell
**Magnetization**: 5.07 μB per cell
**Energy of formation from the pure elements**: 0.186 eV/atom
**D(E_F)**: 1.103 states/eV/atom

Ba2FeAs | PBE | relaxed

a = 4.810 Å, b = 4.810 Å, c = 8.504 Å
α = 73.26°, β = 73.26°, γ = 59.88°
Last column: magnetic moment on the atom in μB.
Fractional positions:
As (0.250, 0.250, 0.250)  0.03
Ba (0.990, 0.990, 0.034)  -0.02
Ba (0.510, 0.510, 0.466)  -0.02
Fe (0.750, 0.750, 0.750)  3.03

Calculated values
**E_tot**: -16.80 eV per cell
**Magnetization**: 3.00 μB per cell
**Energy of formation from the pure elements**: 0.040 eV/atom
**D(E_F)**: 0.436 states/eV/atom

BaFeAs2 | PBE | relaxed

a = 4.105 Å, b = 4.105 Å, c = 6.528 Å
α = 71.71°, β = 71.71°, γ = 59.99°
Last column: magnetic moment on the atom in μB.
Fractional positions:
As (0.961, 0.961, 0.117)  -0.05
As (0.539, 0.539, 0.383)  -0.05
Ba (0.750, 0.750, 0.750)  -0.03
Fe (0.250, 0.250, 0.250)  1.36

Calculated values
**E_tot**: -21.36 eV per cell
**Magnetization**: 1.13 μB per cell
**Energy of formation from the pure elements**: -0.419 eV/atom
**D(E_F)**: 0.982 states/eV/atom

BaFe2As | PBE | relaxed

a = 4.142 Å, b = 4.142 Å, c = 6.339 Å
α = 70.93°, β = 70.93°, γ = 60.00°
Last column: magnetic moment on the atom in μB.
Fractional positions:
As (0.559, 0.559, 0.324)  -0.01
Ba (0.746, 0.746, 0.763)  -0.14
Fe (0.937, 0.937, 0.187)  2.13
Fe (0.258, 0.258, 0.225)  1.93

Calculated values
**E_tot**: -24.22 eV per cell
**Magnetization**: 3.63 μB per cell
**Energy of formation from the pure elements**: -0.182 eV/atom
**D(E_F)**: 1.060 states/eV/atom

BaFe2GeAs6 | PBE | relaxed

a = 6.461 Å, b = 6.461 Å, c = 7.939 Å
α = 65.99°, β = 65.99°, γ = 60.00°
Fractional positions:
Ba (0.000, 0.000, 0.000)
Fe (0.676, 0.676, 0.973)
Fe (0.324, 0.324, 0.027)
Ge (0.500, 0.500, 0.500)
As (0.092, 0.556, 0.796)
As (0.556, 0.092, 0.796)
As (0.444, 0.444, 0.204)
As (0.908, 0.444, 0.204)
As (0.444, 0.908, 0.204)
As (0.556, 0.556, 0.796)

Calculated values
**E_tot**: -52.76 eV per cell
**Magnetization**: 0.00 μB per cell
**Energy of formation from the pure elements**: -0.139 eV/atom
**D(E_F)**: 0.652 states/eV/atom

BaHf2FeAs | PBE | relaxed

a = 4.984 Å, b = 5.950 Å, c = 4.984 Å
α = 90.00°, β = 90.00°, γ = 90.00°
Last column: magnetic moment on the atom in μB.
Fractional positions:
As (0.000, 0.000, 0.000)  0.00
Hf (0.000, 0.000, 0.500)  -0.10
Hf (0.500, 0.000, 0.000)  -0.09
Ba (0.000, 0.500, 0.000)  -0.03
Fe (0.500, 0.500, 0.500)  0.06

Calculated values
**E_tot**: -30.15 eV per cell
**Magnetization**: 0.40 μB per cell
**Energy of formation from the pure elements**: 0.958 eV/atom
**D(E_F)**: 1.969 states/eV/atom

KBa4Fe10As10 | PBE | relaxed

a = 8.941 Å, b = 8.941 Å, c = 8.941 Å
α = 120.89°, β = 120.89°, γ = 88.46°
Last column: magnetic moment on the atom in μB.
Fractional positions:
K (0.000, 0.000, 0.000)  0.00
Ba (0.393, 0.802, 0.196)  0.00
Ba (0.802, 0.607, 0.409)  0.00
Ba (0.198, 0.393, 0.591)  0.00
Ba (0.607, 0.198, 0.804)  0.00
Fe (0.949, 0.649, 0.100)  -0.43
Fe (0.351, 0.451, 0.300)  -0.43
Fe (0.750, 0.250, 0.500)  1.19
Fe (0.151, 0.051, 0.700)  -0.43
Fe (0.549, 0.849, 0.900)  -0.43
Fe (0.649, 0.549, 0.700)  -0.43
Fe (0.051, 0.351, 0.900)  -0.43
Fe (0.451, 0.151, 0.100)  -0.43
Fe (0.849, 0.949, 0.300)  -0.43
Fe (0.250, 0.750, 0.500)  1.19
As (0.947, 0.547, 0.801)  0.00
As (0.346, 0.346, 0.000)  0.02
As (0.746, 0.145, 0.199)  0.00
As (0.145, 0.947, 0.399)  0.00
As (0.547, 0.746, 0.601)  0.00
As (0.654, 0.654, 0.000)  0.02
As (0.053, 0.453, 0.199)  0.00
As (0.453, 0.254, 0.399)  0.00
As (0.855, 0.053, 0.601)  0.00
As (0.254, 0.855, 0.801)  0.00

Calculated values
**E_tot**: -152.26 eV per cell
**Magnetization**: 0.93 μB per cell
**Energy of formation from the pure elements**: -0.494 eV/atom
**D(E_F)**: 0.925 states/eV/atom

Ba2LaFeAs | PBE | relaxed

a = 6.756 Å, b = 5.449 Å, c = 6.756 Å
α = 90.00°, β = 90.00°, γ = 90.00°
Fractional positions:
Fe (0.500, 0.500, 0.500)
As (0.000, 0.500, 0.000)
Ba (0.000, 0.000, 0.500)
Ba (0.500, 0.000, 0.000)
La (0.000, 0.000, 0.000)

Calculated values
**E_tot**: -16.08 eV per cell
**Magnetization**: 0.02 μB per cell
**Energy of formation from the pure elements**: 1.160 eV/atom
**D(E_F)**: 2.665 states/eV/atom

Ba2MgFeAs | PBE | relaxed

a = 6.390 Å, b = 4.978 Å, c = 6.390 Å
α = 90.00°, β = 90.00°, γ = 90.00°
Last column: magnetic moment on the atom in μB.
Fractional positions:
Mg (0.000, 0.500, 0.000)  -0.01
As (0.000, 0.000, 0.000)  0.00
Ba (0.000, 0.000, 0.500)  -0.05
Ba (0.500, 0.000, 0.000)  -0.05
Fe (0.500, 0.500, 0.500)  3.12

Calculated values
**E_tot**: -17.54 eV per cell
**Magnetization**: 2.67 μB per cell
**Energy of formation from the pure elements**: 0.202 eV/atom
**D(E_F)**: 1.289 states/eV/atom